TaZnBiMo2: relaxed, PBEsol.

The value obtained for the volume is 22.35 A^3/atom. As for the uncorrected energy: -34.42 eV per cell. The density of states at the Fermi level comes out at 5.3 states/eV/f.u. For the energy of formation from the pure elements, the calculation gives 1.507 eV per atom.

The space group is P4/mmm (No. 123) and the conventional cell measures 4.767, 4.767 and 4.916 Å, with angles of 90.00, 90.00 and 90.00 degrees. Symmetry generates all atoms from Ta at (0.000, 0.000, 0.000), Zn at (0.000, 0.000, 0.500), Bi at (0.500, 0.500, 0.500) and Mo at (0.000, 0.500, 0.000).